[1]
# Ge5Pb3O12 PBE optimized geometry
data_Ge5Pb3O12
_chemical_formula_sum 'Ge40 Pb24 O96'
_symmetry_space_group_name_H-M 'I a -3 d'
_symmetry_Int_Tables_number 230
_symmetry_space_group_name_Hall '-I 4bd 2c 3'
_cell_length_a 13.043
_cell_length_b 13.043
_cell_length_c 13.043
_cell_angle_alpha 90.00
_cell_angle_beta 90.00
_cell_angle_gamma 90.00
loop_
_atom_site_label
_atom_site_type_symbol
_atom_site_fract_x
_atom_site_fract_y
_atom_site_fract_z
Ge1 Ge 0.000 0.000 0.000
Ge2 Ge 0.000 0.250 0.375
Pb1 Pb 0.000 0.250 0.125
O1 O 0.039 0.045 0.650
# **Magnetic moment**: 0.00 μB per formula unit
# **ΔE_f (raw)**: -26.32 eV per formula unit

---

[2]
# GePbO3 PBE optimized geometry
data_GePbO3
_chemical_formula_sum 'Ge1 Pb1 O3'
_symmetry_space_group_name_H-M 'P m -3 m'
_symmetry_Int_Tables_number 221
_symmetry_space_group_name_Hall '-P 4 2 3'
_cell_length_a 3.856
_cell_length_b 3.856
_cell_length_c 3.856
_cell_angle_alpha 90.00
_cell_angle_beta 90.00
_cell_angle_gamma 90.00
loop_
_atom_site_label
_atom_site_type_symbol
_atom_site_fract_x
_atom_site_fract_y
_atom_site_fract_z
Ge1 Ge 0.000 0.000 0.000
Pb1 Pb 0.500 0.500 0.500
O1 O 0.000 0.000 0.500
# **Magnetic moment**: 0.00 μB per formula unit
# **ΔE_f (raw)**: -6.44 eV per formula unit

---

[3]
# Ge2PbO PBE optimized geometry
data_Ge2PbO
_chemical_formula_sum 'Ge8 Pb4 O4'
_symmetry_space_group_name_H-M 'I -4 2 d'
_symmetry_Int_Tables_number 122
_symmetry_space_group_name_Hall 'I -4 2bw'
_cell_length_a 5.179
_cell_length_b 5.179
_cell_length_c 13.240
_cell_angle_alpha 90.00
_cell_angle_beta 90.00
_cell_angle_gamma 90.00
loop_
_atom_site_label
_atom_site_type_symbol
_atom_site_fract_x
_atom_site_fract_y
_atom_site_fract_z
Ge1 Ge 0.093 0.250 0.125
Pb1 Pb 0.000 0.000 0.500
O1 O 0.000 0.000 0.000
# **Magnetic moment**: 0.00 μB per formula unit
# **ΔE_f (raw)**: -0.47 eV per formula unit
# **Polymorph energy (0 for the lowest one)**: 0.0 kJ/mol of atoms

---

[4]
# GePb2O4 PBE optimized geometry
data_GePb2O4
_chemical_formula_sum 'Ge4 Pb8 O16'
_symmetry_space_group_name_H-M 'P 4/n c c'
_symmetry_Int_Tables_number 130
_cell_length_a 8.646
_cell_length_b 8.646
_cell_length_c 6.412
_cell_angle_alpha 90.00
_cell_angle_beta 90.00
_cell_angle_gamma 90.00
loop_
_symmetry_equiv_pos_as_xyz
'x,y,z'
'-x,-y,-z'
'-y+1/2,x,z'
'y+1/2,-x,-z'
'-x+1/2,-y+1/2,z'
'x+1/2,y+1/2,-z'
'y,-x+1/2,z'
'-y,x+1/2,-z'
'x+1/2,-y,-z+1/2'
'-x+1/2,y,z+1/2'
'-y,-x,-z+1/2'
'y,x,z+1/2'
'-x,y+1/2,-z+1/2'
'x,-y+1/2,z+1/2'
'y+1/2,x+1/2,-z+1/2'
'-y+1/2,-x+1/2,z+1/2'
loop_
_atom_site_label
_atom_site_type_symbol
_atom_site_fract_x
_atom_site_fract_y
_atom_site_fract_z
Ge1 Ge 0.250 0.250 0.074
Pb1 Pb 0.090 0.590 0.250
O1 O 0.061 0.154 0.584
# **Magnetic moment**: 0.00 μB per formula unit
# **ΔE_f (raw)**: -8.18 eV per formula unit
# **Polymorph energy (0 for the lowest one)**: 0.0 kJ/mol of atoms

---

[5]
# GePb3O5 PBE optimized geometry
data_GePb3O5
_chemical_formula_sum 'Ge2 Pb6 O10'
_symmetry_space_group_name_H-M 'C m m 2'
_symmetry_Int_Tables_number 35
_symmetry_space_group_name_Hall 'C 2 -2'
_cell_length_a 7.548
_cell_length_b 7.684
_cell_length_c 5.525
_cell_angle_alpha 90.00
_cell_angle_beta 90.00
_cell_angle_gamma 90.00
loop_
_atom_site_label
_atom_site_type_symbol
_atom_site_fract_x
_atom_site_fract_y
_atom_site_fract_z
Ge1 Ge 0.000 0.000 0.000
Pb1 Pb 0.000 0.500 0.032
Pb2 Pb 0.250 0.250 0.504
O1 O 0.000 0.186 0.193
O2 O 0.000 0.500 0.450
O3 O 0.191 0.000 0.811
# **Magnetic moment**: 0.00 μB per formula unit
# **ΔE_f (raw)**: -11.24 eV per formula unit
# **Polymorph energy (0 for the lowest one)**: 8.8 kJ/mol of atoms

---

[6]
# Ge3Pb5O11 PBE optimized geometry
data_Ge3Pb5O11
_chemical_formula_sum 'Ge9 Pb15 O33'
_symmetry_space_group_name_H-M 'P 3'
_symmetry_Int_Tables_number 143
_symmetry_space_group_name_Hall 'P 3'
_cell_length_a 10.4447
_cell_length_b 10.4447
_cell_length_c 10.9239
_cell_angle_alpha 90.00
_cell_angle_beta 90.00
_cell_angle_gamma 120.00
loop_
_atom_site_label
_atom_site_type_symbol
_atom_site_fract_x
_atom_site_fract_y
_atom_site_fract_z
Ge1 Ge 0.0082 0.6164 0.0000
Ge2 Ge 0.3877 0.0072 0.6613
Ge3 Ge 0.3934 0.0217 0.3593
Pb1 Pb 0.0042 0.7408 0.6898
Pb2 Pb 0.2634 0.0027 0.9808
Pb3 Pb 0.2773 0.2760 0.3208
Pb4 Pb 0.3333 0.6667 0.1863
Pb5 Pb 0.3333 0.6667 0.5061
Pb6 Pb 0.3333 0.6667 0.8312
Pb7 Pb 0.6667 0.3333 0.1639
Pb8 Pb 0.6667 0.3333 0.5027
Pb9 Pb 0.6667 0.3333 0.8417
O1 O 0.0696 0.7635 0.8908
O2 O 0.0883 0.5061 0.9618
O3 O 0.0885 0.7076 0.1394
O4 O 0.1680 0.4958 0.3456
O5 O 0.1870 0.4751 0.6686
O6 O 0.3170 0.0831 0.7694
O7 O 0.3166 0.0898 0.2521
O8 O 0.3569 0.0697 0.5127
O9 O 0.4856 0.2970 0.0017
O10 O 0.5095 0.4174 0.6772
O11 O 0.5342 0.4076 0.3516
# **Magnetic moment**: 0.00 μB per formula unit
# **ΔE_f (raw)**: -27.36 eV per formula unit

---

Please write out number 4 again, unchanged.
# GePb2O4 PBE optimized geometry
data_GePb2O4
_chemical_formula_sum 'Ge4 Pb8 O16'
_symmetry_space_group_name_H-M 'P 4/n c c'
_symmetry_Int_Tables_number 130
_cell_length_a 8.646
_cell_length_b 8.646
_cell_length_c 6.412
_cell_angle_alpha 90.00
_cell_angle_beta 90.00
_cell_angle_gamma 90.00
loop_
_symmetry_equiv_pos_as_xyz
'x,y,z'
'-x,-y,-z'
'-y+1/2,x,z'
'y+1/2,-x,-z'
'-x+1/2,-y+1/2,z'
'x+1/2,y+1/2,-z'
'y,-x+1/2,z'
'-y,x+1/2,-z'
'x+1/2,-y,-z+1/2'
'-x+1/2,y,z+1/2'
'-y,-x,-z+1/2'
'y,x,z+1/2'
'-x,y+1/2,-z+1/2'
'x,-y+1/2,z+1/2'
'y+1/2,x+1/2,-z+1/2'
'-y+1/2,-x+1/2,z+1/2'
loop_
_atom_site_label
_atom_site_type_symbol
_atom_site_fract_x
_atom_site_fract_y
_atom_site_fract_z
Ge1 Ge 0.250 0.250 0.074
Pb1 Pb 0.090 0.590 0.250
O1 O 0.061 0.154 0.584
# **Magnetic moment**: 0.00 μB per formula unit
# **ΔE_f (raw)**: -8.18 eV per formula unit
# **Polymorph energy (0 for the lowest one)**: 0.0 kJ/mol of atoms